1.
A plane-wave DFT calculation with PBE was carried out for an optimized crystal structure of K3Cd8Ag3.

Total moment   0.000 μB/atom
DFT formation energy   -59 meV per atom
Crystal system   orthorhombic
Fermi-level density of states   4.5 states/eV per cell
Electronic total energy   -1.4281 eV per atom

Cell lengths 9.312, 9.312, 9.312 Å; angles 149.26, 109.21, 79.14 degrees
Sites, in units of the cell vectors:
K 0.000 0.000 0.000
K 0.318 0.318 0.000
K 0.682 0.682 0.000
Cd 0.034 0.678 0.357
Cd 0.167 0.883 0.284
Cd 0.321 0.678 0.643
Cd 0.401 0.117 0.284
Cd 0.599 0.883 0.716
Cd 0.679 0.322 0.357
Cd 0.833 0.117 0.716
Cd 0.966 0.322 0.643
Ag 0.275 0.500 0.775
Ag 0.500 0.000 0.500
Ag 0.725 0.500 0.225

***

2.
A plane-wave DFT calculation with PBE was carried out for an optimized crystal structure of TaBiPd2.

Total moment   0.000 μB/atom
DFT formation energy   165 meV per atom
Crystal system   tetragonal
Fermi-level density of states   1.2 states/eV per cell
Electronic total energy   -6.3647 eV per atom

Cell lengths 6.027, 6.027, 6.027 Å; angles 103.02, 103.02, 123.32 degrees
Sites, in units of the cell vectors:
Ta 0.000 0.000 0.000
Ta 0.750 0.250 0.500
Bi 0.250 0.750 0.500
Bi 0.500 0.500 0.000
Pd 0.105 0.625 0.980
Pd 0.375 0.355 0.480
Pd 0.645 0.125 0.020
Pd 0.875 0.895 0.520

***

3.
A plane-wave DFT calculation with PBE was carried out for an optimized crystal structure of NaCdPdBr2.

Total moment   0.000 μB/atom
ΔE_f (raw)   -0.2942 eV per atom
Crystal system   tetragonal
Fermi-level density of states   2.0 states/eV per cell
Electronic total energy   -2.4487 eV per atom

Cell lengths 5.131, 5.131, 5.780 Å; angles 90.00, 90.00, 90.00 degrees
Sites, in units of the cell vectors:
Na 0.000 0.000 0.000
Cd 0.500 0.500 0.000
Pd 0.000 0.000 0.500
Br 0.000 0.500 0.500
Br 0.500 0.000 0.500

***

4.
A plane-wave DFT calculation with PBE was carried out for an optimized crystal structure of Ho12Zn6Ru.

Total moment   0.000 μB/atom
DFT formation energy   -124 meV per atom
Crystal system   trigonal
Fermi-level density of states   18.7 states/eV per cell
Electronic total energy   -3.9055 eV per atom

Cell lengths 7.946, 7.946, 7.946 Å; angles 93.04, 93.04, 93.04 degrees
Sites, in units of the cell vectors:
Ho 0.048 0.934 0.699
Ho 0.066 0.301 0.952
Ho 0.179 0.400 0.531
Ho 0.301 0.952 0.066
Ho 0.400 0.531 0.179
Ho 0.469 0.821 0.600
Ho 0.531 0.179 0.400
Ho 0.600 0.469 0.821
Ho 0.699 0.048 0.934
Ho 0.821 0.600 0.469
Ho 0.934 0.699 0.048
Ho 0.952 0.066 0.301
Zn 0.160 0.763 0.362
Zn 0.237 0.638 0.840
Zn 0.362 0.160 0.763
Zn 0.638 0.840 0.237
Zn 0.763 0.362 0.160
Zn 0.840 0.237 0.638
Ru 0.500 0.500 0.500

***

5.
A plane-wave DFT calculation with PBE was carried out for an optimized crystal structure of SnBiMo.

Total moment   0.000 μB/atom
DFT formation energy   267 meV per atom
Crystal system   monoclinic
Fermi-level density of states   2.3 states/eV per cell
Electronic total energy   -5.9710 eV per atom

Cell lengths 6.277, 3.304, 7.921 Å; angles 90.00, 105.24, 90.00 degrees
Sites, in units of the cell vectors:
Sn 0.000 0.000 0.000
Sn 0.388 0.500 0.318
Bi 0.456 0.000 0.897
Bi 0.847 0.500 0.590
Mo 0.041 0.000 0.368
Mo 0.761 0.500 0.188

***

6.
A plane-wave DFT calculation with PBE was carried out for an optimized crystal structure of CaPaHg2.

Total moment   0.240 μB/atom
DFT formation energy   -158 meV per atom
Crystal system   tetragonal
Fermi-level density of states   5.7 states/eV per cell
Electronic total energy   -3.1831 eV per atom

Cell lengths 3.412, 3.412, 8.736 Å; angles 90.00, 90.00, 90.00 degrees
Sites, in units of the cell vectors:
Ca 0.000 0.000 0.000
Pa 0.000 0.000 0.500
Hg 0.500 0.500 0.248
Hg 0.500 0.500 0.752

***

7.
A plane-wave DFT calculation with PBE was carried out for an optimized crystal structure of KWCl2.

Total moment   0.000 μB/atom
ΔE_f (raw)   0.0224 eV per atom
Crystal system   monoclinic
Fermi-level density of states   1.2 states/eV per cell
Electronic total energy   -4.4136 eV per atom

Cell lengths 4.183, 4.183, 6.753 Å; angles 99.86, 99.86, 44.70 degrees
Sites, in units of the cell vectors:
K 0.000 0.000 0.000
W 0.500 0.500 0.500
Cl 0.233 0.233 0.683
Cl 0.767 0.767 0.317

***

8.
A plane-wave DFT calculation with PBE was carried out for an optimized crystal structure of LiCrRe2Ag.

Total moment   0.236 μB/atom
DFT formation energy   2781 meV per atom
Crystal system   tetragonal
Fermi-level density of states   8.9 states/eV per cell
Electronic total energy   -5.0758 eV per atom

Cell lengths 4.829, 4.829, 4.630 Å; angles 90.00, 90.00, 90.00 degrees
Sites, in units of the cell vectors:
Li 0.000 0.000 0.000
Cr 0.500 0.500 0.000
Re 0.000 0.500 0.500
Re 0.500 0.000 0.500
Ag 0.500 0.500 0.500

***

9.
A plane-wave DFT calculation with PBE was carried out for an optimized crystal structure of Zn6Ir.

Total moment   0.193 μB/atom
DFT formation energy   1095 meV per atom
Crystal system   cubic
Fermi-level density of states   4.5 states/eV per cell
Electronic total energy   -1.2626 eV per atom

Cell lengths 5.845, 5.845, 5.845 Å; angles 109.47, 109.47, 109.47 degrees
Sites, in units of the cell vectors:
Zn 0.250 0.500 0.750
Zn 0.250 0.750 0.500
Zn 0.500 0.250 0.750
Zn 0.500 0.750 0.250
Zn 0.750 0.250 0.500
Zn 0.750 0.500 0.250
Ir 0.000 0.000 0.000

***

10.
A plane-wave DFT calculation with PBE was carried out for an optimized crystal structure of MnCBr3.

Total moment   1.200 μB/atom
ΔE_f (raw)   1.0957 eV per atom
Crystal system   cubic
Fermi-level density of states   5.6 states/eV per cell
Electronic total energy   -3.5867 eV per atom

Cell lengths 5.109, 5.109, 5.109 Å; angles 90.00, 90.00, 90.00 degrees
Sites, in units of the cell vectors:
Mn 0.000 0.000 0.000
C 0.500 0.500 0.500
Br 0.000 0.000 0.500
Br 0.000 0.500 0.000
Br 0.500 0.000 0.000

***

11.
A plane-wave DFT calculation with PBE was carried out for an optimized crystal structure of PuFe3Ge3.

Total moment   1.305 μB/atom
DFT formation energy   -139 meV per atom
Crystal system   hexagonal
Fermi-level density of states   32.3 states/eV per cell
Electronic total energy   -7.7921 eV per atom

Cell lengths 8.094, 8.094, 4.063 Å; angles 90.00, 90.00, 120.00 degrees
Sites, in units of the cell vectors:
Pu 0.333 0.667 0.250
Pu 0.667 0.333 0.750
Fe 0.045 0.847 0.250
Fe 0.153 0.199 0.250
Fe 0.199 0.045 0.750
Fe 0.801 0.955 0.250
Fe 0.847 0.801 0.750
Fe 0.955 0.153 0.750
Ge 0.082 0.697 0.750
Ge 0.303 0.385 0.750
Ge 0.385 0.082 0.250
Ge 0.615 0.918 0.750
Ge 0.697 0.615 0.250
Ge 0.918 0.303 0.250

***

12.
A plane-wave DFT calculation with PBE was carried out for an optimized crystal structure of Pr2CrGe3Pt4.

Total moment   0.334 μB/atom
DFT formation energy   -792 meV per atom
Crystal system   tetragonal
Fermi-level density of states   8.7 states/eV per cell
Electronic total energy   -6.5123 eV per atom

Cell lengths 4.339, 4.339, 10.369 Å; angles 90.00, 90.00, 90.00 degrees
Sites, in units of the cell vectors:
Pr 0.000 0.500 0.249
Pr 0.500 0.000 0.751
Cr 0.000 0.000 0.500
Ge 0.000 0.500 0.870
Ge 0.500 0.000 0.130
Ge 0.500 0.500 0.500
Pt 0.000 0.000 0.000
Pt 0.000 0.500 0.633
Pt 0.500 0.000 0.367
Pt 0.500 0.500 0.000

***

Question: Which value of electronic total energy does entry 10 give?
Answer: -3.5867 eV per atom